SbTeMo2: optimized geometry, PBE.

Unit cell a=3.262 b=3.262 c=8.106 alpha=90.00 beta=90.00 gamma=90.00
Positions (direct):
Sb1 0.000 0.000 0.000
Te1 0.500 0.500 0.393
Mo1 0.000 0.000 0.598
Mo2 0.500 0.500 0.781

Raw formation energy: 121 meV/atom
Space group: No. 99

YSe2: optimized geometry, PBE.

Unit cell a=5.876 b=6.937 c=4.233 alpha=90.00 beta=90.00 gamma=90.00
Positions (direct):
Y1 0.000 0.000 0.000
Y2 0.500 0.500 0.500
Se1 0.200 0.379 0.000
Se2 0.300 0.879 0.500
Se3 0.700 0.121 0.500
Se4 0.800 0.621 0.000

Raw formation energy: -1325 meV/atom
Space group: No. 58

DyAl12Ni6: optimized geometry, PBE.

Unit cell a=6.904 b=6.904 c=6.904 alpha=104.78 beta=104.78 gamma=104.78
Positions (direct):
Dy1 0.000 0.000 0.000
Al1 0.118 0.500 0.882
Al2 0.118 0.882 0.500
Al3 0.155 0.413 0.413
Al4 0.413 0.155 0.413
Al5 0.413 0.413 0.155
Al6 0.500 0.118 0.882
Al7 0.500 0.882 0.118
Al8 0.587 0.587 0.845
Al9 0.587 0.845 0.587
Al10 0.845 0.587 0.587
Al11 0.882 0.118 0.500
Al12 0.882 0.500 0.118
Ni1 0.274 0.274 0.702
Ni2 0.274 0.702 0.274
Ni3 0.298 0.726 0.726
Ni4 0.702 0.274 0.274
Ni5 0.726 0.298 0.726
Ni6 0.726 0.726 0.298

ΔH_f (0 K): -42.58 kJ per mole of atoms
Space group: No. 166

Nd12Bi3H5: optimized geometry, PBE.

Unit cell a=14.139 b=14.139 c=14.139 alpha=109.47 beta=109.47 gamma=109.47
Positions (direct):
Nd1 0.012 0.205 0.108
Nd2 0.012 0.307 0.904
Nd3 0.096 0.608 0.403
Nd4 0.096 0.988 0.693
Nd5 0.097 0.705 0.693
Nd6 0.097 0.892 0.404
Nd7 0.108 0.012 0.205
Nd8 0.108 0.596 0.903
Nd9 0.193 0.205 0.597
Nd10 0.193 0.488 0.596
Nd11 0.205 0.108 0.012
Nd12 0.205 0.597 0.193
Nd13 0.295 0.307 0.903
Nd14 0.295 0.488 0.392
Nd15 0.307 0.903 0.295
Nd16 0.307 0.904 0.012
Nd17 0.392 0.295 0.488
Nd18 0.392 0.597 0.904
Nd19 0.403 0.096 0.608
Nd20 0.403 0.807 0.795
Nd21 0.404 0.097 0.892
Nd22 0.404 0.807 0.512
Nd23 0.488 0.392 0.295
Nd24 0.488 0.596 0.193
Nd25 0.512 0.404 0.807
Nd26 0.512 0.608 0.705
Nd27 0.596 0.193 0.488
Nd28 0.596 0.903 0.108
Nd29 0.597 0.193 0.205
Nd30 0.597 0.904 0.392
Nd31 0.608 0.403 0.096
Nd32 0.608 0.705 0.512
Nd33 0.693 0.096 0.988
Nd34 0.693 0.097 0.705
Nd35 0.705 0.512 0.608
Nd36 0.705 0.693 0.097
Nd37 0.795 0.403 0.807
Nd38 0.795 0.892 0.988
Nd39 0.807 0.512 0.404
Nd40 0.807 0.795 0.403
Nd41 0.892 0.404 0.097
Nd42 0.892 0.988 0.795
Nd43 0.903 0.108 0.596
Nd44 0.903 0.295 0.307
Nd45 0.904 0.012 0.307
Nd46 0.904 0.392 0.597
Nd47 0.988 0.693 0.096
Nd48 0.988 0.795 0.892
Bi1 0.125 0.250 0.375
Bi2 0.125 0.375 0.750
Bi3 0.250 0.375 0.125
Bi4 0.250 0.875 0.625
Bi5 0.375 0.125 0.250
Bi6 0.375 0.750 0.125
Bi7 0.625 0.250 0.875
Bi8 0.625 0.875 0.750
Bi9 0.750 0.125 0.375
Bi10 0.750 0.625 0.875
Bi11 0.875 0.625 0.250
Bi12 0.875 0.750 0.625
H1 0.000 0.000 0.000
H2 0.000 0.000 0.500
H3 0.000 0.500 0.000
H4 0.000 0.500 0.500
H5 0.125 0.750 0.875
H6 0.125 0.875 0.250
H7 0.250 0.125 0.875
H8 0.250 0.625 0.375
H9 0.375 0.250 0.625
H10 0.375 0.625 0.750
H11 0.500 0.000 0.000
H12 0.500 0.000 0.500
H13 0.500 0.500 0.000
H14 0.500 0.500 0.500
H15 0.625 0.375 0.250
H16 0.625 0.750 0.375
H17 0.750 0.375 0.625
H18 0.750 0.875 0.125
H19 0.875 0.125 0.750
H20 0.875 0.250 0.125

Space group: No. 230
Total DFT energy (no corrections): -4.6257 eV/atom

Nb2CoAg: optimized geometry, PBE.

Unit cell a=3.845 b=3.845 c=18.866 alpha=90.00 beta=90.00 gamma=90.00
Positions (direct):
Nb1 0.236 0.250 0.125
Nb2 0.250 0.736 0.375
Nb3 0.250 0.764 0.875
Nb4 0.264 0.250 0.625
Nb5 0.736 0.750 0.625
Nb6 0.750 0.236 0.875
Nb7 0.750 0.264 0.375
Nb8 0.764 0.750 0.125
Co1 0.000 0.000 0.000
Co2 0.000 0.500 0.250
Co3 0.500 0.000 0.750
Co4 0.500 0.500 0.500
Ag1 0.000 0.000 0.500
Ag2 0.000 0.500 0.750
Ag3 0.500 0.000 0.250
Ag4 0.500 0.500 0.000

ΔH_f (0 K): 71.09 kJ per mole of atoms
Space group: No. 122

Fe2Si2As: optimized geometry, PBE.

Unit cell a=6.809 b=6.809 c=2.680 alpha=90.00 beta=90.00 gamma=90.00
Positions (direct):
Fe1 0.154 0.346 0.000
Fe2 0.346 0.846 0.000
Fe3 0.654 0.154 0.000
Fe4 0.846 0.654 0.000
Si1 0.137 0.637 0.500
Si2 0.363 0.137 0.500
Si3 0.637 0.863 0.500
Si4 0.863 0.363 0.500
As1 0.000 0.000 0.000
As2 0.500 0.500 0.000

Raw formation energy: -116 meV/atom
Space group: No. 127

MgBeV: optimized geometry, PBE.

Unit cell a=9.240 b=2.766 c=6.992 alpha=90.00 beta=110.10 gamma=90.00
Positions (direct):
Mg1 0.000 0.000 0.000
Mg2 0.186 0.500 0.797
Mg3 0.500 0.500 0.000
Mg4 0.686 0.000 0.797
Be1 0.201 0.500 0.292
Be2 0.331 0.000 0.174
Be3 0.701 0.000 0.292
Be4 0.831 0.500 0.174
V1 0.025 0.000 0.427
V2 0.359 0.000 0.571
V3 0.525 0.500 0.427
V4 0.859 0.500 0.571

ΔH_f (0 K): 22.59 kJ per mole of atoms
Space group: No. 8

OsPb2: optimized geometry, PBE.

Unit cell a=6.776 b=6.776 c=6.776 alpha=90.00 beta=90.00 gamma=90.00
Positions (direct):
Os1 0.000 0.000 0.000
Os2 0.000 0.500 0.500
Os3 0.500 0.000 0.500
Os4 0.500 0.500 0.000
Pb1 0.182 0.682 0.818
Pb2 0.182 0.818 0.318
Pb3 0.318 0.182 0.818
Pb4 0.318 0.318 0.318
Pb5 0.682 0.682 0.682
Pb6 0.682 0.818 0.182
Pb7 0.818 0.182 0.682
Pb8 0.818 0.318 0.182

ΔH_f (0 K): 72.34 kJ per mole of atoms
Space group: No. 205